# PBE VCuPd5, relaxed
# Volume: 109.3 Å³ per cell
# Formation energy from the elements: -0.019 eV per atom
# Polymorph energy (0 for the lowest one): 0 meV per atom
data_VCuPd5
_chemical_formula_sum 'V1 Cu1 Pd5'
_cell_length_a 3.924
_cell_length_b 3.924
_cell_length_c 7.101
_cell_angle_alpha 90.00
_cell_angle_beta 90.00
_cell_angle_gamma 90.00
_space_group_name_H-M_alt 'P 4/m m m'
_space_group_IT_number 123
_space_group_name_Hall '-P 4 2'
loop_
_atom_site_label
_atom_site_type_symbol
_atom_site_fract_x
_atom_site_fract_y
_atom_site_fract_z
V1 V 0.000 0.000 0.000
Cu1 Cu 0.500 0.500 0.500
Pd1 Pd 0.000 0.000 0.500
Pd2 Pd 0.000 0.500 0.221

---

# PBE BAuIO2, relaxed
# Uncorrected formation energy: 0.489 eV per atom
# Volume: 83.1 Å³ per cell
# Polymorph energy (0 for the lowest one): 0 meV per atom
data_BAuIO2
_chemical_formula_sum 'B1 Au1 I1 O2'
_cell_length_a 3.593
_cell_length_b 3.593
_cell_length_c 6.438
_cell_angle_alpha 90.00
_cell_angle_beta 90.00
_cell_angle_gamma 90.00
_space_group_name_H-M_alt 'P 4/m m m'
_space_group_IT_number 123
_space_group_name_Hall '-P 4 2'
loop_
_atom_site_label
_atom_site_type_symbol
_atom_site_fract_x
_atom_site_fract_y
_atom_site_fract_z
B1 B 0.000 0.000 0.000
Au1 Au 0.500 0.500 0.500
I1 I 0.000 0.000 0.500
O1 O 0.000 0.500 0.000

---

# PBE BaHg2BiPb, relaxed
# Volume: 339.9 Å³ per cell
# Formation energy from the elements: -0.333 eV per atom
# Polymorph energy (0 for the lowest one): 0 meV per atom
data_BaHg2BiPb
_chemical_formula_sum 'Ba2 Hg4 Bi2 Pb2'
_cell_length_a 4.667
_cell_length_b 5.308
_cell_length_c 13.724
_cell_angle_alpha 90.00
_cell_angle_beta 90.00
_cell_angle_gamma 90.00
_space_group_name_H-M_alt 'I m m 2'
_space_group_IT_number 44
loop_
_space_group_symop_operation_xyz
'x,y,z'
'-x,-y,z'
'-x,y,z'
'x,-y,z'
'x+1/2,y+1/2,z+1/2'
'-x+1/2,-y+1/2,z+1/2'
'-x+1/2,y+1/2,z+1/2'
'x+1/2,-y+1/2,z+1/2'
loop_
_atom_site_label
_atom_site_type_symbol
_atom_site_fract_x
_atom_site_fract_y
_atom_site_fract_z
Ba1 Ba 0.000 0.000 0.000
Hg1 Hg 0.000 0.000 0.395
Hg2 Hg 0.000 0.500 0.283
Bi1 Bi 0.000 0.000 0.615
Pb1 Pb 0.000 0.500 0.746

---

# PBE LaNd2TmP4, relaxed
# Volume: 201.2 Å³ per cell
# Formation energy from the elements: -1.539 eV per atom
data_LaNd2TmP4
_chemical_formula_sum 'La1 Nd2 Tm1 P4'
_cell_length_a 7.171
_cell_length_b 4.146
_cell_length_c 7.174
_cell_angle_alpha 90.00
_cell_angle_beta 109.41
_cell_angle_gamma 90.00
_space_group_name_H-M_alt 'P 1 2/m 1'
_space_group_IT_number 10
loop_
_space_group_symop_operation_xyz
'x,y,z'
'-x,-y,-z'
'-x,y,-z'
'x,-y,z'
loop_
_atom_site_label
_atom_site_type_symbol
_atom_site_fract_x
_atom_site_fract_y
_atom_site_fract_z
La1 La 0.000 0.000 0.000
Nd1 Nd 0.000 0.500 0.500
Nd2 Nd 0.500 0.000 0.500
Tm1 Tm 0.500 0.500 0.000
P1 P 0.257 0.500 0.248
P2 P 0.260 0.000 0.757

---

# PBE SmTmAl, relaxed
# Volume: 168.9 Å³ per cell
# Formation energy from the elements: -0.080 eV per atom
# Polymorph energy (0 for the lowest one): 158 meV per atom
data_SmTmAl
_chemical_formula_sum 'Sm2 Tm2 Al2'
_cell_length_a 4.717
_cell_length_b 4.717
_cell_length_c 7.592
_cell_angle_alpha 90.00
_cell_angle_beta 90.00
_cell_angle_gamma 90.00
_space_group_name_H-M_alt 'P 4/n m m'
_space_group_IT_number 129
loop_
_space_group_symop_operation_xyz
'x,y,z'
'-x,-y,-z'
'-y+1/2,x,z'
'y+1/2,-x,-z'
'-x+1/2,-y+1/2,z'
'x+1/2,y+1/2,-z'
'y,-x+1/2,z'
'-y,x+1/2,-z'
'x+1/2,-y,-z'
'-x+1/2,y,z'
'-y,-x,-z'
'y,x,z'
'-x,y+1/2,-z'
'x,-y+1/2,z'
'y+1/2,x+1/2,-z'
'-y+1/2,-x+1/2,z'
loop_
_atom_site_label
_atom_site_type_symbol
_atom_site_fract_x
_atom_site_fract_y
_atom_site_fract_z
Sm1 Sm 0.250 0.250 0.212
Tm1 Tm 0.250 0.250 0.743
Al1 Al 0.250 0.750 0.500

---

# PBE AcMnTe3, relaxed
# Uncorrected formation energy: -0.886 eV per atom
# Volume: 601.2 Å³ per cell
# Polymorph energy (0 for the lowest one): 0 meV per atom
data_AcMnTe3
_chemical_formula_sum 'Ac4 Mn4 Te12'
_cell_length_a 8.969
_cell_length_b 4.394
_cell_length_c 15.256
_cell_angle_alpha 90.00
_cell_angle_beta 90.00
_cell_angle_gamma 90.00
_space_group_name_H-M_alt 'P n m a'
_space_group_IT_number 62
loop_
_space_group_symop_operation_xyz
'x,y,z'
'-x,-y,-z'
'-x+1/2,-y,z+1/2'
'x+1/2,y,-z+1/2'
'x+1/2,-y+1/2,-z+1/2'
'-x+1/2,y+1/2,z+1/2'
'-x,y+1/2,-z'
'x,-y+1/2,z'
loop_
_atom_site_label
_atom_site_type_symbol
_atom_site_fract_x
_atom_site_fract_y
_atom_site_fract_z
Ac1 Ac 0.104 0.250 0.171
Mn1 Mn 0.159 0.750 0.448
Te1 Te 0.013 0.750 0.609
Te2 Te 0.154 0.750 0.001
Te3 Te 0.186 0.250 0.789

---

# PBE GaPbAu6, relaxed
# Volume: 167.2 Å³ per cell
# Formation energy from the elements: -0.039 eV per atom
# Polymorph energy (0 for the lowest one): 19 meV per atom
data_GaPbAu6
_chemical_formula_sum 'Ga1 Pb1 Au6'
_cell_length_a 3.926
_cell_length_b 7.005
_cell_length_c 6.078
_cell_angle_alpha 90.00
_cell_angle_beta 90.00
_cell_angle_gamma 90.00
_space_group_name_H-M_alt 'P m m 2'
_space_group_IT_number 25
loop_
_space_group_symop_operation_xyz
'x,y,z'
'-x,-y,z'
'-x,y,z'
'x,-y,z'
loop_
_atom_site_label
_atom_site_type_symbol
_atom_site_fract_x
_atom_site_fract_y
_atom_site_fract_z
Ga1 Ga 0.000 0.000 0.000
Pb1 Pb 0.500 0.500 0.713
Au1 Au 0.000 0.215 0.493
Au2 Au 0.000 0.500 0.154
Au3 Au 0.500 0.000 0.715
Au4 Au 0.500 0.217 0.147

---

# PBE LiZnSbRh, relaxed
# Uncorrected formation energy: -0.428 eV per atom
# Volume: 253.2 Å³ per cell
data_LiZnSbRh
_chemical_formula_sum 'Li4 Zn4 Sb4 Rh4'
_cell_length_a 6.327
_cell_length_b 6.327
_cell_length_c 6.327
_cell_angle_alpha 90.00
_cell_angle_beta 90.00
_cell_angle_gamma 90.00
_space_group_name_H-M_alt 'F -4 3 m'
_space_group_IT_number 216
_space_group_name_Hall 'F -4 2 3'
loop_
_atom_site_label
_atom_site_type_symbol
_atom_site_fract_x
_atom_site_fract_y
_atom_site_fract_z
Li1 Li 0.000 0.000 0.000
Zn1 Zn 0.250 0.250 0.750
Sb1 Sb 0.250 0.250 0.250
Rh1 Rh 0.000 0.000 0.500

---

# PBE TbSm2YTe6, relaxed
# Uncorrected formation energy: -1.377 eV per atom
# Volume: 1117.3 Å³ per cell
data_TbSm2YTe6
_chemical_formula_sum 'Tb3 Sm6 Y3 Te18'
_cell_length_a 7.7909
_cell_length_b 7.7909
_cell_length_c 21.2545
_cell_angle_alpha 90.00
_cell_angle_beta 90.00
_cell_angle_gamma 120.00
_space_group_name_H-M_alt 'R 3'
_space_group_IT_number 146
_space_group_name_Hall 'R 3'
loop_
_atom_site_label
_atom_site_type_symbol
_atom_site_fract_x
_atom_site_fract_y
_atom_site_fract_z
Tb1 Tb 0.0000 0.0000 0.0000
Sm1 Sm 0.0000 0.0000 0.3121
Sm2 Sm 0.0000 0.0000 0.8121
Y1 Y 0.0000 0.0000 0.5000
Te1 Te 0.0262 0.6761 0.5747
Te2 Te 0.0267 0.3508 0.0749

---

# PBE NaNdInSn, relaxed
# Volume: 445.5 Å³ per cell
# Formation energy from the elements: -0.338 eV per atom
# Polymorph energy (0 for the lowest one): 82 meV per atom
data_NaNdInSn
_chemical_formula_sum 'Na4 Nd4 In4 Sn4'
_cell_length_a 7.638
_cell_length_b 7.638
_cell_length_c 7.638
_cell_angle_alpha 90.00
_cell_angle_beta 90.00
_cell_angle_gamma 90.00
_space_group_name_H-M_alt 'F -4 3 m'
_space_group_IT_number 216
_space_group_name_Hall 'F -4 2 3'
loop_
_atom_site_label
_atom_site_type_symbol
_atom_site_fract_x
_atom_site_fract_y
_atom_site_fract_z
Na1 Na 0.000 0.000 0.000
Nd1 Nd 0.000 0.000 0.500
In1 In 0.250 0.250 0.750
Sn1 Sn 0.250 0.250 0.250

---

# PBE La2AuO, relaxed
# Uncorrected formation energy: -1.641 eV per atom
# Volume: 280.6 Å³ per cell
data_La2AuO
_chemical_formula_sum 'La6 Au3 O3'
_cell_length_a 3.9395
_cell_length_b 3.9395
_cell_length_c 20.8746
_cell_angle_alpha 90.00
_cell_angle_beta 90.00
_cell_angle_gamma 120.00
_space_group_name_H-M_alt 'R -3 m'
_space_group_IT_number 166
_space_group_name_Hall '-R 3 2"'
loop_
_atom_site_label
_atom_site_type_symbol
_atom_site_fract_x
_atom_site_fract_y
_atom_site_fract_z
La1 La 0.0000 0.0000 0.2320
Au1 Au 0.0000 0.0000 0.0000
O1 O 0.0000 0.0000 0.5000

---

# PBE Ac7Pm3Ho, relaxed
# Volume: 942.4 Å³ per cell
# Formation energy from the elements: 0.273 eV per atom
data_Ac7Pm3Ho
_chemical_formula_sum 'Ac14 Pm6 Ho2'
_cell_length_a 12.274
_cell_length_b 11.164
_cell_length_c 6.923
_cell_angle_alpha 90.00
_cell_angle_beta 96.54
_cell_angle_gamma 90.00
_space_group_name_H-M_alt 'C 1 2/m 1'
_space_group_IT_number 12
loop_
_space_group_symop_operation_xyz
'x,y,z'
'-x,-y,-z'
'-x,y,-z'
'x,-y,z'
'x+1/2,y+1/2,z'
'-x+1/2,-y+1/2,-z'
'-x+1/2,y+1/2,-z'
'x+1/2,-y+1/2,z'
loop_
_atom_site_label
_atom_site_type_symbol
_atom_site_fract_x
_atom_site_fract_y
_atom_site_fract_z
Ac1 Ac 0.000 0.000 0.000
Ac2 Ac 0.238 0.500 0.227
Ac3 Ac 0.249 0.329 0.740
Pm1 Pm 0.000 0.337 0.000
Pm2 Pm 0.000 0.500 0.500
Ho1 Ho 0.000 0.000 0.500

---

Question: Which formula does entry 6 have?
Answer: AcMnTe3